1.
Material: AlHgH2Cl8
Method: DFT, PBE
State: relaxed

The structure in CIF format:
```
data_AlHgH2Cl8
_space_group_name_H-M_alt 'P -1'
_space_group_IT_number 2
_space_group_name_Hall '-P 1'
_cell_length_a 6.370
_cell_length_b 7.499
_cell_length_c 7.672
_cell_angle_alpha 117.21
_cell_angle_beta 92.54
_cell_angle_gamma 96.44
loop_
_atom_site_label
_atom_site_type_symbol
_atom_site_fract_x
_atom_site_fract_y
_atom_site_fract_z
_atom_site_occupancy
Al1 Al 0.000 0.000 0.000 1
Hg1 Hg 0.000 0.000 0.500 1
H1 H 0.277 0.568 0.216 1
Cl1 Cl 0.114 0.212 0.358 1
Cl2 Cl 0.136 0.264 0.952 1
Cl3 Cl 0.316 0.866 0.962 1
Cl4 Cl 0.371 0.723 0.377 1
```

Calculated values
**DFT total energy**: -2.864 eV/atom
**Crystal system**: triclinic

2.
Material: Ca4SiAu
Method: DFT, PBE
State: relaxed

The structure in CIF format:
```
data_Ca4SiAu
_space_group_name_H-M_alt 'F -4 3 m'
_space_group_IT_number 216
_space_group_name_Hall 'F -4 2 3'
_cell_length_a 8.956
_cell_length_b 8.956
_cell_length_c 8.956
_cell_angle_alpha 90.00
_cell_angle_beta 90.00
_cell_angle_gamma 90.00
loop_
_atom_site_label
_atom_site_type_symbol
_atom_site_fract_x
_atom_site_fract_y
_atom_site_fract_z
_atom_site_occupancy
Ca1 Ca 0.124 0.124 0.124 1
Si1 Si 0.250 0.250 0.750 1
Au1 Au 0.000 0.000 0.500 1
```

Calculated values
**Uncorrected formation energy**: 246 kJ/mol of formula units
**DFT total energy**: -2.360 eV/atom
**Crystal system**: cubic